Entry from Alexandria: a relaxed Nb2CdSn crystal (GGA-PBE).

- DOS(E_F) (states/eV/cell) = 2.61
- V (Å³ per cell) = 341.34
- DFT formation energy (meV per atom) = 468.8
- crystal system = tetragonal

a = 7.669 Å, b = 7.669 Å, c = 5.804 Å
α = 90.00°, β = 90.00°, γ = 90.00°
Space group I-42d (No. 122)
Inequivalent atoms, fractional coordinates:
Nb 0.245 0.250 0.125
Cd 0.000 0.000 0.500
Sn 0.000 0.000 0.000